1.
A relaxed structure of SmY4Pd2, computed with PBE.

## Properties
energy = -6.21 eV per atom
spin magnetization = 0.000 Bohr magnetons per cell
energy of formation from the pure elements = -359 meV/atom
volume = 29.37 Å³ per atom

abc: 15.7985 15.7985 15.7985
angles: 14.17 14.17 14.17
Atoms (fractional coordinates):
Sm1 0.0000 0.0000 0.0000
Y1 0.1980 0.1980 0.1980
Y2 0.3948 0.3948 0.3948
Y3 0.6052 0.6052 0.6052
Y4 0.8020 0.8020 0.8020
Pd1 0.0984 0.0984 0.0984
Pd2 0.9016 0.9016 0.9016

2.
A relaxed structure of Pr2ScCd12Ag3, computed with PBE.

## Properties
energy = -1.97 eV per atom
spin magnetization = 0.267 Bohr magnetons per cell
energy of formation from the pure elements = 1 meV/atom
volume = 24.22 Å³ per atom

abc: 7.6014 7.6014 7.6014
angles: 85.91 85.91 85.91
Atoms (fractional coordinates):
Pr1 0.2435 0.2435 0.2435
Pr2 0.7565 0.7565 0.7565
Sc1 0.5000 0.5000 0.5000
Cd1 0.0652 0.0652 0.6583
Cd2 0.0652 0.6583 0.0652
Cd3 0.2178 0.6989 0.6989
Cd4 0.3011 0.3011 0.7822
Cd5 0.3011 0.7822 0.3011
Cd6 0.3417 0.9348 0.9348
Cd7 0.6583 0.0652 0.0652
Cd8 0.6989 0.2178 0.6989
Cd9 0.6989 0.6989 0.2178
Cd10 0.7822 0.3011 0.3011
Cd11 0.9348 0.3417 0.9348
Cd12 0.9348 0.9348 0.3417
Ag1 0.0000 0.5000 0.5000
Ag2 0.5000 0.0000 0.5000
Ag3 0.5000 0.5000 0.0000

3.
A relaxed structure of LiTbYGa, computed with PBE.

## Properties
energy = -4.34 eV per atom
spin magnetization = 0.000 Bohr magnetons per cell
energy of formation from the pure elements = -330 meV/atom
volume = 23.64 Å³ per atom

abc: 5.1136 5.1136 5.1136
angles: 60.00 60.00 60.00
Atoms (fractional coordinates):
Li1 0.0000 0.0000 0.0000
Tb1 0.7500 0.7500 0.7500
Y1 0.2500 0.2500 0.2500
Ga1 0.5000 0.5000 0.5000

4.
A relaxed structure of InGa2Cu2, computed with PBE.

## Properties
energy = -3.36 eV per atom
spin magnetization = 0.000 Bohr magnetons per cell
energy of formation from the pure elements = 32 meV/atom
volume = 17.19 Å³ per atom

abc: 6.5164 6.5164 6.5164
angles: 146.05 146.05 48.77
Atoms (fractional coordinates):
In1 0.0000 0.0000 0.0000
Ga1 0.2500 0.7500 0.5000
Ga2 0.7500 0.2500 0.5000
Cu1 0.3957 0.3957 0.0000
Cu2 0.6043 0.6043 0.0000

5.
A relaxed structure of LiCa2Y2, computed with PBE.

## Properties
energy = -3.39 eV per atom
spin magnetization = 3.107 Bohr magnetons per cell
energy of formation from the pure elements = 377 meV/atom
volume = 37.79 Å³ per atom

abc: 9.9068 9.9068 3.8503
angles: 90.00 90.00 90.00
Atoms (fractional coordinates):
Li1 0.0000 0.0000 0.0000
Li2 0.5000 0.5000 0.0000
Ca1 0.1758 0.3242 0.5000
Ca2 0.3242 0.8242 0.5000
Ca3 0.6758 0.1758 0.5000
Ca4 0.8242 0.6758 0.5000
Y1 0.1178 0.6178 0.0000
Y2 0.3822 0.1178 0.0000
Y3 0.6178 0.8822 0.0000
Y4 0.8822 0.3822 0.0000

6.
A relaxed structure of CaNb2TlOs, computed with PBE.

## Properties
energy = -4.85 eV per atom
spin magnetization = 0.001 Bohr magnetons per cell
energy of formation from the pure elements = 2298 meV/atom
volume = 27.21 Å³ per atom

abc: 5.1043 5.1043 5.2217
angles: 90.00 90.00 90.00
Atoms (fractional coordinates):
Ca1 0.0000 0.0000 0.0000
Nb1 0.0000 0.5000 0.5000
Nb2 0.5000 0.0000 0.5000
Tl1 0.0000 0.0000 0.5000
Os1 0.5000 0.5000 0.0000